The following is a PBE calculation of a geometry-optimized Li8Cd2Pd3 structure, from Alexandria via LeMat-Bulk.

Unit cell a=5.341 b=7.225 c=7.046 alpha=120.85 beta=97.17 gamma=90.00
Sites, in units of the cell vectors:
Li  0.545  0.581  0.785
Li  0.935  0.601  0.202
Li  0.065  0.399  0.798
Pd  0.000  0.187  0.000
Cd  0.282  0.196  0.393
Li  0.455  0.419  0.215
Li  0.455  0.796  0.215
Cd  0.718  0.804  0.607
Pd  0.500  0.000  0.000
Pd  0.000  0.813  0.000
Li  0.204  0.825  0.650
Li  0.545  0.204  0.785
Li  0.796  0.175  0.350

N(E_F) = 4.12 states/eV per cell
Theoretical density = 4.3 g cm⁻³
Excess energy over the best structure of this formula in the dataset = 68.9 meV/atom
Energy = -35.30 eV/cell

The following is a PBE calculation of a geometry-optimized Dy5CdCo4 structure, from Alexandria via LeMat-Bulk.

Unit cell a=3.360 b=3.360 c=17.857 alpha=90.00 beta=90.00 gamma=90.00
Sites, in units of the cell vectors:
Co  0.000  0.000  0.594
Co  0.000  0.000  0.783
Dy  0.500  0.500  0.314
Co  0.000  0.000  0.217
Dy  0.500  0.500  0.128
Cd  0.000  0.000  0.000
Dy  0.500  0.500  0.872
Dy  0.500  0.500  0.686
Dy  0.500  0.500  0.500
Co  0.000  0.000  0.406

N(E_F) = 6.02 states/eV per cell
Theoretical density = 9.6 g cm⁻³
Energy = -54.23 eV/cell

The following is a PBE calculation of a geometry-optimized Rb2IClF6 structure, from Alexandria via LeMat-Bulk.

Unit cell a=8.598 b=8.515 c=8.555 alpha=38.29 beta=42.50 gamma=40.03
Sites, in units of the cell vectors:
Cl  0.751  0.777  0.647
Rb  0.100  0.099  0.842
F  0.954  0.500  0.199
F  0.294  0.956  0.274
F  0.706  0.167  0.841
F  0.334  0.356  0.261
F  0.314  0.675  0.784
F  0.276  0.389  0.812
I  0.331  0.300  0.062
Rb  0.603  0.441  0.294

N(E_F) = 0.00 states/eV per cell
Theoretical density = 3.2 g cm⁻³
Excess energy over the best structure of this formula in the dataset = 0.0 meV/atom
Energy = -35.70 eV/cell
E_form (uncorrected) = -1.9141 eV/atom

The following is a PBE calculation of a geometry-optimized Np2HgSb4 structure, from Alexandria via LeMat-Bulk.

Unit cell a=4.346 b=4.346 c=10.229 alpha=90.00 beta=90.00 gamma=90.00
Sites, in units of the cell vectors:
Hg  0.500  0.500  0.000
Np  0.500  0.000  0.738
Sb  0.000  0.500  0.808
Sb  0.500  0.000  0.192
Sb  0.500  0.500  0.500
Np  0.000  0.500  0.262
Sb  0.000  0.000  0.500

N(E_F) = 20.83 states/eV per cell
Theoretical density = 10.0 g cm⁻³
Energy = -43.85 eV/cell
E_form (uncorrected) = -0.1680 eV/atom

The following is a PBE calculation of a geometry-optimized TaAsP3 structure, from Alexandria via LeMat-Bulk.

Unit cell a=4.805 b=4.805 c=4.805 alpha=90.00 beta=90.00 gamma=90.00
Sites, in units of the cell vectors:
As  0.500  0.500  0.500
Ta  0.000  0.000  0.000
P  0.500  0.000  0.000
P  0.000  0.500  0.000
P  0.000  0.000  0.500

N(E_F) = 4.53 states/eV per cell
Theoretical density = 5.2 g cm⁻³
Excess energy over the best structure of this formula in the dataset = 0.0 meV/atom
Energy = -29.41 eV/cell

The following is a PBE calculation of a geometry-optimized CaTlSi2Au5 structure, from Alexandria via LeMat-Bulk.

Unit cell a=4.570 b=4.570 c=10.469 alpha=90.00 beta=90.00 gamma=90.00
Sites, in units of the cell vectors:
Au  0.500  0.500  0.500
Au  0.500  0.000  0.198
Si  0.500  0.500  0.273
Si  0.500  0.500  0.727
Au  0.000  0.500  0.802
Au  0.500  0.000  0.802
Ca  0.000  0.000  0.500
Tl  0.000  0.000  0.000
Au  0.000  0.500  0.198

N(E_F) = 1.68 states/eV per cell
Theoretical density = 9.8 g cm⁻³
Energy = -33.31 eV/cell
E_form (uncorrected) = -0.1904 eV/atom

The following is a PBE calculation of a geometry-optimized TcTe6Mo structure, from Alexandria via LeMat-Bulk.

Unit cell a=6.711 b=6.754 c=7.396 alpha=56.80 beta=58.29 gamma=56.72
Sites, in units of the cell vectors:
Te  0.299  0.915  0.184
Te  0.701  0.085  0.816
Te  0.413  0.793  0.700
Tc  0.000  0.000  0.000
Mo  0.500  0.500  0.500
Te  0.049  0.450  0.709
Te  0.951  0.550  0.291
Te  0.587  0.207  0.300

N(E_F) = 5.46 states/eV per cell
Theoretical density = 7.2 g cm⁻³
Energy = -39.99 eV/cell
E_form (uncorrected) = 0.0071 eV/atom

The following is a PBE calculation of a geometry-optimized Ag6Hg2Au3 structure, from Alexandria via LeMat-Bulk.

Unit cell a=4.991 b=7.759 c=12.668 alpha=29.71 beta=83.51 gamma=96.70
Sites, in units of the cell vectors:
Hg  0.213  0.069  0.327
Ag  0.521  0.950  0.904
Hg  0.787  0.931  0.673
Ag  0.479  0.050  0.096
Au  0.186  0.317  0.621
Ag  0.851  0.484  0.110
Au  0.000  0.000  0.000
Ag  0.560  0.675  0.607
Ag  0.440  0.325  0.393
Au  0.814  0.683  0.379
Ag  0.149  0.516  0.890

N(E_F) = 3.29 states/eV per cell
Theoretical density = 12.5 g cm⁻³
Energy = -27.15 eV/cell

The following is a PBE calculation of a geometry-optimized K2CuSCl2O4 structure, from Alexandria via LeMat-Bulk.

Unit cell a=6.210 b=7.850 c=16.635 alpha=90.00 beta=90.00 gamma=90.00
Sites, in units of the cell vectors:
O  0.750  0.281  0.864
S  0.250  0.364  0.303
O  0.946  0.140  0.753
O  0.750  0.781  0.636
Cl  0.750  0.403  0.454
O  0.250  0.719  0.136
O  0.250  0.019  0.142
Cl  0.250  0.661  0.948
O  0.946  0.640  0.747
O  0.054  0.360  0.253
Cl  0.250  0.161  0.552
Cu  0.250  0.376  0.461
Cl  0.750  0.903  0.046
Cl  0.250  0.097  0.954
O  0.054  0.860  0.247
K  0.750  0.623  0.906
O  0.554  0.640  0.747
O  0.554  0.140  0.753
Cl  0.750  0.839  0.448
O  0.250  0.219  0.364
S  0.750  0.136  0.803
Cl  0.250  0.597  0.546
S  0.750  0.636  0.697
K  0.250  0.390  0.713
K  0.250  0.890  0.787
O  0.250  0.519  0.358
S  0.250  0.864  0.197
K  0.750  0.123  0.594
K  0.250  0.877  0.406
O  0.750  0.481  0.642
Cu  0.750  0.624  0.539
O  0.750  0.981  0.858
K  0.750  0.610  0.287
K  0.750  0.110  0.213
O  0.446  0.360  0.253
Cu  0.750  0.124  0.961
O  0.446  0.860  0.247
Cu  0.250  0.876  0.039
Cl  0.750  0.339  0.052
K  0.250  0.377  0.094

Theoretical density = 2.5 g cm⁻³
Energy = -195.40 eV/cell
E_form (uncorrected) = -1.4906 eV/atom

The following is a PBE calculation of a geometry-optimized Dy2CuSn structure, from Alexandria via LeMat-Bulk.

Unit cell a=3.551 b=3.551 c=10.422 alpha=80.19 beta=80.19 gamma=60.00
Sites, in units of the cell vectors:
Dy  0.102  0.102  0.695
Sn  0.000  0.000  0.000
Cu  0.500  0.500  0.500
Dy  0.898  0.898  0.305

N(E_F) = 4.88 states/eV per cell
Theoretical density = 7.5 g cm⁻³
Energy = -16.92 eV/cell

The following is a PBE calculation of a geometry-optimized Sm2Ho5 structure, from Alexandria via LeMat-Bulk.

Unit cell a=5.660 b=5.660 c=8.744 alpha=71.12 beta=71.12 gamma=60.00
Sites, in units of the cell vectors:
Ho  0.217  0.217  0.349
Ho  0.500  0.500  0.500
Ho  0.075  0.075  0.775
Sm  0.361  0.361  0.917
Ho  0.925  0.925  0.225
Sm  0.639  0.639  0.083
Ho  0.783  0.783  0.651

N(E_F) = 18.24 states/eV per cell
Theoretical density = 8.3 g cm⁻³
Excess energy over the best structure of this formula in the dataset = 127.0 meV/atom
Energy = -31.31 eV/cell

The following is a PBE calculation of a geometry-optimized Pr2Hg4Au structure, from Alexandria via LeMat-Bulk.

Unit cell a=5.312 b=5.312 c=8.052 alpha=70.74 beta=70.74 gamma=60.00
Sites, in units of the cell vectors:
Hg  0.428  0.428  0.717
Au  0.000  0.000  0.000
Hg  0.870  0.870  0.391
Pr  0.725  0.725  0.825
Pr  0.275  0.275  0.175
Hg  0.130  0.130  0.609
Hg  0.572  0.572  0.283

N(E_F) = 5.35 states/eV per cell
Theoretical density = 11.7 g cm⁻³
Energy = -16.84 eV/cell

The following is a PBE calculation of a geometry-optimized BeHPb2 structure, from Alexandria via LeMat-Bulk.

Unit cell a=5.017 b=5.017 c=7.647 alpha=70.85 beta=70.85 gamma=90.00
Sites, in units of the cell vectors:
Be  0.750  0.250  0.500
Pb  0.375  0.407  0.750
Be  0.000  0.000  0.000
Pb  0.593  0.125  0.250
Pb  0.157  0.625  0.250
H  0.500  0.500  0.000
Pb  0.875  0.843  0.750
H  0.250  0.750  0.500

N(E_F) = 4.06 states/eV per cell
Theoretical density = 8.3 g cm⁻³
Excess energy over the best structure of this formula in the dataset = 0.0 meV/atom
Energy = -23.83 eV/cell

The following is a PBE calculation of a geometry-optimized PrTlPdPb structure, from Alexandria via LeMat-Bulk.

Unit cell a=5.239 b=5.239 c=5.239 alpha=60.00 beta=60.00 gamma=60.00
Sites, in units of the cell vectors:
Pb  0.750  0.750  0.750
Pd  0.500  0.500  0.500
Pr  0.250  0.250  0.250
Tl  0.000  0.000  0.000

N(E_F) = 0.81 states/eV per cell
Theoretical density = 10.8 g cm⁻³
Energy = -17.58 eV/cell

The following is a PBE calculation of a geometry-optimized MoAs2Au structure, from Alexandria via LeMat-Bulk.

Unit cell a=3.581 b=3.581 c=5.531 alpha=90.00 beta=90.00 gamma=90.00
Sites, in units of the cell vectors:
Au  0.000  0.000  0.459
As  0.000  0.000  0.941
As  0.500  0.500  0.319
Mo  0.500  0.500  0.780

N(E_F) = 2.70 states/eV per cell
Theoretical density = 10.4 g cm⁻³
Excess energy over the best structure of this formula in the dataset = 109.0 meV/atom
Energy = -22.84 eV/cell

The following is a PBE calculation of a geometry-optimized InBO2 structure, from Alexandria via LeMat-Bulk.

Unit cell a=6.652 b=6.652 c=6.652 alpha=29.88 beta=29.88 gamma=29.88
Sites, in units of the cell vectors:
O  0.066  0.066  0.066
B  0.000  0.000  0.000
In  0.500  0.500  0.500
O  0.934  0.934  0.934

N(E_F) = 0.00 states/eV per cell
Theoretical density = 4.0 g cm⁻³
Energy = -25.16 eV/cell
E_form (uncorrected) = -1.4559 eV/atom

The following is a PBE calculation of a geometry-optimized Tb6PmTm12 structure, from Alexandria via LeMat-Bulk.

Unit cell a=8.455 b=8.455 c=8.455 alpha=88.42 beta=88.42 gamma=88.42
Sites, in units of the cell vectors:
Tb  0.318  0.746  0.912
Tb  0.746  0.912  0.318
Tb  0.682  0.254  0.088
Tm  0.454  0.563  0.230
Tb  0.088  0.682  0.254
Tm  0.230  0.454  0.563
Tm  0.781  0.649  0.993
Tm  0.649  0.993  0.781
Tm  0.546  0.437  0.770
Tb  0.254  0.088  0.682
Tm  0.563  0.230  0.454
Tm  0.007  0.219  0.351
Tm  0.219  0.351  0.007
Tm  0.437  0.770  0.546
Tm  0.993  0.781  0.649
Tb  0.912  0.318  0.746
Pm  0.000  0.000  0.000
Tm  0.351  0.007  0.219
Tm  0.770  0.546  0.437

N(E_F) = 29.03 states/eV per cell
Theoretical density = 8.6 g cm⁻³
Excess energy over the best structure of this formula in the dataset = 0.0 meV/atom
Energy = -83.10 eV/cell

The following is a PBE calculation of a geometry-optimized NdMnTlTe3 structure, from Alexandria via LeMat-Bulk.

Unit cell a=4.527 b=9.698 c=10.292 alpha=105.63 beta=90.00 gamma=90.00
Sites, in units of the cell vectors:
Te  0.750  0.209  0.525
Te  0.250  0.548  0.827
Te  0.250  0.791  0.475
Mn  0.750  0.915  0.397
Te  0.750  0.900  0.133
Tl  0.250  0.202  0.219
Te  0.750  0.452  0.173
Te  0.250  0.100  0.867
Mn  0.250  0.085  0.603
Tl  0.750  0.798  0.781
Nd  0.250  0.671  0.144
Nd  0.750  0.329  0.856

N(E_F) = 0.32 states/eV per cell
Theoretical density = 6.0 g cm⁻³
Energy = -60.25 eV/cell
E_form (uncorrected) = -0.7325 eV/atom

The following is a PBE calculation of a geometry-optimized MgNbAu structure, from Alexandria via LeMat-Bulk.

Unit cell a=3.927 b=6.134 c=6.849 alpha=47.02 beta=106.70 gamma=90.01
Sites, in units of the cell vectors:
Au  0.873  0.556  0.048
Mg  0.534  0.538  0.370
Mg  0.205  0.012  0.712
Au  0.191  0.543  0.685
Nb  0.870  0.064  0.042
Nb  0.518  0.048  0.338

N(E_F) = 5.73 states/eV per cell
Theoretical density = 9.4 g cm⁻³
Energy = -30.35 eV/cell

The following is a PBE calculation of a geometry-optimized Be3MoPd structure, from Alexandria via LeMat-Bulk.

Unit cell a=4.050 b=4.050 c=4.050 alpha=90.00 beta=90.00 gamma=90.00
Sites, in units of the cell vectors:
Be  0.000  0.500  0.000
Be  0.500  0.000  0.000
Be  0.000  0.000  0.500
Mo  0.500  0.500  0.500
Pd  0.000  0.000  0.000

N(E_F) = 1.87 states/eV per cell
Theoretical density = 5.7 g cm⁻³
Excess energy over the best structure of this formula in the dataset = 0.0 meV/atom
Energy = -24.00 eV/cell